(1)
TbScBi, optimized geometry, DFT PBE; raw total energy = -5.23 eV per atom; mass density = 8.050 g/cm3
1.0
5.016 0.000 0.000
-2.508 4.344 0.000
0.000 0.000 3.909
Tb Sc Bi
1 1 1
Direct
0.000 0.000 0.000 Tb
0.333 0.667 0.526 Sc
0.667 0.333 0.404 Bi

(2)
La2NiAu, optimized geometry, DFT PBE; raw total energy = -5.22 eV per atom; mass density = 8.045 g/cm3
1.0
3.625 -2.093 0.000
3.625 2.093 0.000
-2.403 0.000 7.254
La Ni Au
2 1 1
Direct
0.241 0.241 0.224 La
0.759 0.759 0.776 La
0.500 0.500 0.000 Ni
0.000 0.000 0.500 Au

(3)
Hf2TaOs2, optimized geometry, DFT PBE; raw total energy = -11.10 eV per atom; mass density = 15.976 g/cm3
1.0
6.617 0.000 0.000
0.000 6.617 0.000
0.000 0.000 4.361
Hf Ta Os
4 2 4
Direct
0.182 0.318 0.000 Hf
0.318 0.818 0.000 Hf
0.682 0.182 0.000 Hf
0.818 0.682 0.000 Hf
0.000 0.000 0.500 Ta
0.500 0.500 0.500 Ta
0.135 0.635 0.500 Os
0.365 0.135 0.500 Os
0.635 0.865 0.500 Os
0.865 0.365 0.500 Os

(4)
PuTa2H8, optimized geometry, DFT PBE; raw total energy = -6.03 eV per atom; mass density = 10.024 g/cm3
1.0
2.483 -4.245 0.000
2.483 4.245 0.000
-0.185 0.000 4.824
Pu Ta H
1 2 8
Direct
0.000 0.000 0.000 Pu
0.392 0.726 0.518 Ta
0.726 0.392 0.518 Ta
0.051 0.448 0.274 H
0.059 0.797 0.604 H
0.352 0.352 0.670 H
0.429 0.783 0.897 H
0.448 0.051 0.274 H
0.614 0.614 0.262 H
0.783 0.429 0.897 H
0.797 0.059 0.604 H

(5)
SmMg2Sn2, optimized geometry, DFT PBE; raw total energy = -3.60 eV per atom; mass density = 5.750 g/cm3
1.0
2.231 -12.555 0.000
2.231 12.555 0.000
0.000 0.000 4.500
Sm Mg Sn
2 4 4
Direct
0.151 0.849 0.750 Sm
0.849 0.151 0.250 Sm
0.044 0.956 0.250 Mg
0.455 0.545 0.250 Mg
0.545 0.455 0.750 Mg
0.956 0.044 0.750 Mg
0.249 0.751 0.250 Sn
0.374 0.626 0.750 Sn
0.626 0.374 0.250 Sn
0.751 0.249 0.750 Sn

(6)
SmGdTl, optimized geometry, DFT PBE; raw total energy = -7.21 eV per atom; mass density = 9.337 g/cm3
1.0
5.314 0.000 0.000
-2.657 4.602 0.000
0.000 0.000 3.723
Sm Gd Tl
1 1 1
Direct
0.000 0.000 0.000 Sm
0.333 0.667 0.550 Gd
0.667 0.333 0.319 Tl

(7)
SiPtI3, optimized geometry, DFT PBE; raw total energy = -2.35 eV per atom; mass density = 6.115 g/cm3
1.0
5.473 0.000 0.000
0.000 5.473 0.000
0.000 0.000 5.473
Si Pt I
1 1 3
Direct
0.000 0.000 0.000 Si
0.500 0.500 0.500 Pt
0.000 0.000 0.500 I
0.000 0.500 0.000 I
0.500 0.000 0.000 I

(8)
RhW2Cl, optimized geometry, DFT PBE; raw total energy = -8.51 eV per atom; mass density = 12.603 g/cm3
1.0
2.859 0.000 0.000
0.000 2.859 0.000
0.000 0.000 8.160
Rh W Cl
1 2 1
Direct
0.000 0.000 0.000 Rh
0.000 0.000 0.463 W
0.500 0.500 0.210 W
0.500 0.500 0.672 Cl